Run one
# LaPm2Tl4

LaPm2Tl4 after structural relaxation (GGA-PBE, Alexandria).

Calculated values
- SG: P4/mmm
- Magnetization: 0.000 μB per atom

Unit cell a=5.366 b=5.366 c=7.867 alpha=90.00 beta=90.00 gamma=90.00
Sites, in units of the cell vectors:
Pm (0.500, 0.500, 0.500)
Pm (0.000, 0.000, 0.000)
Tl (0.000, 0.500, 0.728)
Tl (0.500, 0.000, 0.272)
Tl (0.000, 0.500, 0.272)
Tl (0.500, 0.000, 0.728)
La (0.500, 0.500, 0.000)

***

Run two
# LaPm2Tl4

LaPm2Tl4 after structural relaxation (GGA-PBE, Alexandria).

Calculated values
- SG: R-3m
- Magnetization: 0.000 μB per atom

Unit cell a=5.172 b=5.172 c=9.846 alpha=74.77 beta=74.77 gamma=60.00
Sites, in units of the cell vectors:
Tl (0.724, 0.724, 0.829)
Tl (0.428, 0.428, 0.717)
Tl (0.276, 0.276, 0.171)
Tl (0.572, 0.572, 0.283)
Pm (0.132, 0.132, 0.605)
Pm (0.868, 0.868, 0.395)
La (0.000, 0.000, 0.000)

***

The data favor run one; the next most stable structure lies 7.5 kJ/mol of atoms above it.